The following is a GGA-PBE calculation of a relaxed SbP2 crystal, from Alexandria.

Summary:
Its density of states at the Fermi level is 1.46 states/eV/f.u. The total DFT energy (no corrections) is -4.737 eV/atom. The calculation puts the uncorrected formation energy at 0.244 eV/atom.

extended XYZ file:
```
3
Lattice="3.8285 0.0000 0.0000 -1.9142 3.3156 0.0000 0.0000 0.0000 4.6524" Properties=species:S:1:pos:R:3 pbc="T T T"
P 1.9142 1.1052 2.9936
P 0.0000 2.2104 1.6587
Sb 0.0000 0.0000 0.0000
```



The following is a GGA-PBE calculation of a relaxed Sb5P crystal, from Alexandria.

Summary:
Its density of states at the Fermi level is 2.29 states/eV/f.u. The total DFT energy (no corrections) is -4.204 eV/atom. The calculation puts the uncorrected formation energy at 0.133 eV/atom.

extended XYZ file:
```
6
Lattice="2.1140 6.3688 -1.0753 -2.1140 6.3688 -1.0753 0.0000 1.0466 6.1269" Properties=species:S:1:pos:R:3 pbc="T T T"
Sb 0.0000 8.6719 1.8222
Sb 0.0000 4.0101 -0.6056
Sb 0.0000 12.8639 0.6507
Sb 0.0000 8.0193 -1.3498
Sb 0.0000 4.4065 2.3597
P 0.0000 12.4256 -1.9311
```



The following is a GGA-PBE calculation of a relaxed Sb2P crystal, from Alexandria.

Summary:
Its density of states at the Fermi level is 1.32 states/eV/f.u. The total DFT energy (no corrections) is -4.081 eV/atom. The calculation puts the uncorrected formation energy at 0.471 eV/atom.

extended XYZ file:
```
3
Lattice="0.0000 3.3933 3.3933 3.3933 0.0000 3.3933 3.3933 3.3933 0.0000" Properties=species:S:1:pos:R:3 pbc="T T T"
Sb 5.0899 5.0899 5.0899
Sb 1.6966 1.6966 1.6966
P 0.0000 0.0000 0.0000
```



The following is a GGA-PBE calculation of a relaxed SbP crystal, from Alexandria.

Summary:
Its density of states at the Fermi level is 1.18 states/eV/f.u. The total DFT energy (no corrections) is -4.359 eV/atom. The calculation puts the uncorrected formation energy at 0.407 eV/atom.

extended XYZ file:
```
8
Lattice="-4.0304 -0.1043 -0.1822 2.1745 -2.9309 -1.7233 -0.3756 -7.7839 12.7644" Properties=species:S:1:pos:R:3 pbc="T T T"
Sb -2.3164 -8.3881 11.3431
Sb -2.1713 -5.3808 6.4116
Sb 0.0848 -2.4310 -0.4843
Sb -0.0603 -5.4384 4.4472
P -0.1755 -7.8267 8.3636
P -2.0560 -2.9925 2.4952
P -0.2817 -5.8379 9.5733
P -0.0939 -1.9460 3.1911
```



The following is a GGA-PBE calculation of a relaxed SbP crystal, from Alexandria.

Summary:
Its density of states at the Fermi level is 0.29 states/eV/f.u. The total DFT energy (no corrections) is -4.591 eV/atom. The calculation puts the uncorrected formation energy at 0.175 eV/atom.

extended XYZ file:
```
4
Lattice="1.9575 6.2179 -0.1045 -1.9575 6.2179 -0.1045 0.0000 -0.0279 4.2071" Properties=species:S:1:pos:R:3 pbc="T T T"
P 0.0000 8.3069 1.0120
P 0.0000 4.1011 2.9860
Sb 0.0000 1.5713 3.6188
Sb 0.0000 10.8367 0.3792
```



The following is a GGA-PBE calculation of a relaxed SbP crystal, from Alexandria.

Summary:
Its density of states at the Fermi level is 1.93 states/eV/f.u. The total DFT energy (no corrections) is -4.267 eV/atom. The calculation puts the uncorrected formation energy at 0.499 eV/atom.

extended XYZ file:
```
2
Lattice="3.4575 0.0000 0.0000 0.0000 3.4575 0.0000 0.0000 0.0000 3.4575" Properties=species:S:1:pos:R:3 pbc="T T T"
P 0.0000 0.0000 0.0000
Sb 1.7288 1.7288 1.7288
```



The following is a GGA-PBE calculation of a relaxed SbP2 crystal, from Alexandria.

Summary:
Its density of states at the Fermi level is 0.19 states/eV/f.u. The total DFT energy (no corrections) is -4.849 eV/atom. The calculation puts the uncorrected formation energy at 0.132 eV/atom.

extended XYZ file:
```
6
Lattice="1.8869 6.6802 0.0429 -1.8869 6.6802 0.0429 0.0000 1.9344 5.4223" Properties=species:S:1:pos:R:3 pbc="T T T"
P 0.0000 5.8419 3.4906
P 0.0000 1.7609 4.6312
P 0.0000 7.1687 5.2701
P 0.0000 9.5459 1.4255
Sb 0.0000 10.8668 4.2124
Sb 0.0000 1.1786 1.9419
```



The following is a GGA-PBE calculation of a relaxed SbP crystal, from Alexandria.

Summary:
Its density of states at the Fermi level is 0.52 states/eV/f.u. The total DFT energy (no corrections) is -4.688 eV/atom. The calculation puts the uncorrected formation energy at 0.078 eV/atom.

extended XYZ file:
```
8
Lattice="-0.0660 -6.1457 -0.5233 0.7568 0.2574 -3.1192 11.0427 2.9340 2.9216" Properties=species:S:1:pos:R:3 pbc="T T T"
P 8.1044 -0.1212 1.9564
P 8.7721 -1.4948 0.3430
P 2.9615 -1.4595 -1.0639
P 2.8723 -3.0905 0.4418
Sb 0.4349 -1.4409 -1.6754
Sb 11.2987 -1.5134 0.9546
Sb 5.3989 -3.1091 1.0534
Sb 5.5778 -0.1026 1.3449
```



The following is a GGA-PBE calculation of a relaxed SbP crystal, from Alexandria.

Summary:
Its density of states at the Fermi level is 0.63 states/eV/f.u. The total DFT energy (no corrections) is -4.600 eV/atom. The calculation puts the uncorrected formation energy at 0.166 eV/atom.

extended XYZ file:
```
6
Lattice="1.6867 6.8936 0.0223 -1.6867 6.8936 0.0223 0.0000 0.9264 6.8568" Properties=species:S:1:pos:R:3 pbc="T T T"
P 0.0000 6.5251 4.0328
P 0.0000 10.3731 4.7410
P 0.0000 4.3615 3.5395
Sb 0.0000 10.3824 0.3278
Sb 0.0000 0.7489 2.4949
Sb 0.0000 14.2022 6.7183
```



The following is a GGA-PBE calculation of a relaxed SbP crystal, from Alexandria.

Summary:
The total DFT energy (no corrections) is -4.546 eV/atom. The calculation puts the uncorrected formation energy at 0.220 eV/atom.

extended XYZ file:
```
16
Lattice="-4.4369 10.5405 0.2586 -10.4656 -4.4368 1.2814 0.4248 0.0864 3.7685" Properties=species:S:1:pos:R:3 pbc="T T T"
Sb -10.0488 -1.5450 3.0773
Sb -11.8582 5.9340 3.1099
Sb -7.6556 0.2033 0.8583
Sb -4.4289 7.7352 2.2311
Sb -10.2831 3.2648 1.0843
Sb -7.2468 5.9004 0.6817
Sb -2.6195 0.2561 2.1986
Sb -4.6193 2.8389 0.4556
P -10.3293 5.9442 1.0281
P -7.0919 7.6956 2.5322
P -7.3857 -1.5054 2.7762
P -4.5731 0.1596 0.5118
P -11.8120 3.2547 3.1661
P -2.6657 2.9355 2.1424
P -10.3187 0.1638 1.1594
P -4.5838 5.9400 0.3806
```



The following is a GGA-PBE calculation of a relaxed SbP crystal, from Alexandria.

Summary:
Its density of states at the Fermi level is 0.44 states/eV/f.u. The total DFT energy (no corrections) is -4.684 eV/atom. The calculation puts the uncorrected formation energy at 0.082 eV/atom.

extended XYZ file:
```
4
Lattice="-2.4173 -1.6227 -1.3836 -2.4164 -0.6624 5.1023 -1.0536 5.9246 -1.3514" Properties=species:S:1:pos:R:3 pbc="T T T"
P -3.6575 4.2885 -0.4635
P -2.2298 -0.6491 2.8307
Sb -2.6560 3.1466 2.8760
Sb -3.2314 0.4928 -0.5088
```



The following is a GGA-PBE calculation of a relaxed SbP crystal, from Alexandria.

Summary:
Its density of states at the Fermi level is 0.96 states/eV/f.u. The total DFT energy (no corrections) is -4.543 eV/atom. The calculation puts the uncorrected formation energy at 0.223 eV/atom.

extended XYZ file:
```
4
Lattice="-1.5829 2.1113 8.3439 1.5829 -2.1113 8.3439 1.5829 2.1113 -8.3439" Properties=species:S:1:pos:R:3 pbc="T T T"
Sb 0.0000 1.0556 7.3424
Sb 1.5829 1.0556 1.0015
P 1.5829 -1.0556 4.8761
P 0.0000 3.1669 3.4678
```



The following is a GGA-PBE calculation of a relaxed SbP crystal, from Alexandria.

Summary:
Its density of states at the Fermi level is 2.07 states/eV/f.u. The total DFT energy (no corrections) is -4.124 eV/atom. The calculation puts the uncorrected formation energy at 0.643 eV/atom.

extended XYZ file:
```
4
Lattice="4.5073 -1.8449 -0.6966 1.7112 -3.5094 2.9934 0.5460 -4.5988 -1.6607" Properties=species:S:1:pos:R:3 pbc="T T T"
Sb 0.0000 0.0000 0.0000
Sb 1.6911 -2.4883 0.1590
P 5.0734 -7.4648 0.4771
P 3.3823 -4.9766 0.3180
```



The following is a GGA-PBE calculation of a relaxed SbP crystal, from Alexandria.

Summary:
Its density of states at the Fermi level is 1.13 states/eV/f.u. The total DFT energy (no corrections) is -4.510 eV/atom. The calculation puts the uncorrected formation energy at 0.256 eV/atom.

extended XYZ file:
```
4
Lattice="-3.2768 1.9006 -0.5280 0.8785 -1.3727 3.4601 3.3064 6.1447 1.5983" Properties=species:S:1:pos:R:3 pbc="T T T"
Sb 0.0000 0.0000 0.0000
Sb 1.6532 3.0723 0.7992
P 0.5881 5.4180 2.0002
P 0.3200 1.2545 2.5304
```